Record 1
Compound: Rb3SmF6
Source: the Alexandria database
Functional: meta-GGA SCAN
Structure: PBEsol geometry

CIF file:
```
data_Rb3SmF6
_cell_length_a 9.6523
_cell_length_b 9.6523
_cell_length_c 9.6523
_cell_angle_alpha 90.00
_cell_angle_beta 90.00
_cell_angle_gamma 90.00
_space_group_name_H-M_alt 'F m -3 m'
_space_group_IT_number 225
_space_group_name_Hall '-F 4 2 3'
loop_
_atom_site_label
_atom_site_fract_x
_atom_site_fract_y
_atom_site_fract_z
_atom_site_occupancy
Rb1 0.0000 0.0000 0.0000 1
Rb2 0.2500 0.2500 0.2500 1
Sm1 0.0000 0.0000 0.5000 1
F1 0.0000 0.0000 0.2706 1
```

formation energy from raw total energies = -3292 kJ/mol of formula units
Fermi-level density of states = 0.00 states/eV per cell

***

Record 2
Compound: Ti3AsRh
Source: the Alexandria database
Functional: meta-GGA SCAN
Structure: PBEsol geometry

CIF file:
```
data_Ti3AsRh
_cell_length_a 4.5426
_cell_length_b 4.5426
_cell_length_c 4.5426
_cell_angle_alpha 90.00
_cell_angle_beta 90.00
_cell_angle_gamma 90.00
_space_group_name_H-M_alt 'P m -3 m'
_space_group_IT_number 221
_space_group_name_Hall '-P 4 2 3'
loop_
_atom_site_label
_atom_site_fract_x
_atom_site_fract_y
_atom_site_fract_z
_atom_site_occupancy
Ti1 0.0000 0.0000 0.5000 1
As1 0.0000 0.0000 0.0000 1
Rh1 0.5000 0.5000 0.5000 1
```

Fermi-level density of states = 5.82 states/eV per cell
energy of formation from the pure elements = 208 meV per atom

***

Record 3
Compound: Ta2CrAs
Source: the Alexandria database
Functional: meta-GGA SCAN
Structure: PBEsol geometry

CIF file:
```
data_Ta2CrAs
_cell_length_a 3.4343
_cell_length_b 4.1021
_cell_length_c 4.3560
_cell_angle_alpha 90.00
_cell_angle_beta 90.00
_cell_angle_gamma 90.00
_space_group_name_H-M_alt 'P m m m'
_space_group_IT_number 47
_space_group_name_Hall '-P 2 2'
loop_
_atom_site_label
_atom_site_fract_x
_atom_site_fract_y
_atom_site_fract_z
_atom_site_occupancy
Ta1 0.0000 0.0000 0.0000 1
Ta2 0.5000 0.0000 0.5000 1
Cr1 0.0000 0.5000 0.5000 1
As1 0.5000 0.5000 0.0000 1
```

Fermi-level density of states = 2.75 states/eV per cell
energy of formation from the pure elements = -86 meV per atom

***

Record 4
Compound: MnReTc
Source: the Alexandria database
Functional: meta-GGA SCAN
Structure: PBEsol geometry

CIF file:
```
data_MnReTc
_cell_length_a 2.6585
_cell_length_b 3.7265
_cell_length_c 7.9713
_cell_angle_alpha 90.00
_cell_angle_beta 90.00
_cell_angle_gamma 90.00
_space_group_name_H-M_alt 'I m m 2'
_space_group_IT_number 44
_space_group_name_Hall 'I 2 -2'
loop_
_atom_site_label
_atom_site_fract_x
_atom_site_fract_y
_atom_site_fract_z
_atom_site_occupancy
Mn1 0.0000 0.0000 0.0000 1
Re1 0.0000 0.0000 0.6636 1
Tc1 0.0000 0.0000 0.3384 1
```

Fermi-level density of states = 6.70 states/eV per cell
energy of formation from the pure elements = 62 meV per atom

***

Record 5
Compound: YRe
Source: the Alexandria database
Functional: meta-GGA SCAN
Structure: PBEsol geometry

CIF file:
```
data_YRe
_cell_length_a 3.1350
_cell_length_b 3.1350
_cell_length_c 13.6226
_cell_angle_alpha 90.00
_cell_angle_beta 90.00
_cell_angle_gamma 120.00
_space_group_name_H-M_alt 'R -3 m'
_space_group_IT_number 166
_space_group_name_Hall '-R 3 2"'
loop_
_atom_site_label
_atom_site_fract_x
_atom_site_fract_y
_atom_site_fract_z
_atom_site_occupancy
Y1 0.0000 0.0000 0.0000 1
Re1 0.0000 0.0000 0.5000 1
```

Fermi-level density of states = 6.09 states/eV per cell
energy of formation from the pure elements = 707 meV per atom

***

Record 6
Compound: TaNi2Ru
Source: the Alexandria database
Functional: meta-GGA SCAN
Structure: PBEsol geometry

CIF file:
```
data_TaNi2Ru
_cell_length_a 5.1639
_cell_length_b 7.1988
_cell_length_c 2.7591
_cell_angle_alpha 90.00
_cell_angle_beta 90.00
_cell_angle_gamma 90.00
_space_group_name_H-M_alt 'C m m m'
_space_group_IT_number 65
_space_group_name_Hall '-C 2 2'
loop_
_atom_site_label
_atom_site_fract_x
_atom_site_fract_y
_atom_site_fract_z
_atom_site_occupancy
Ta1 0.0000 0.0000 0.0000 1
Ni1 0.2500 0.2500 0.5000 1
Ru1 0.0000 0.5000 0.0000 1
```

Fermi-level density of states = 9.32 states/eV per cell
energy of formation from the pure elements = -99 meV per atom
excess energy over the best structure of this formula in the dataset = 0.235 eV/atom

***

Record 7
Compound: Al2Ag
Source: the Alexandria database
Functional: meta-GGA SCAN
Structure: PBEsol geometry

CIF file:
```
data_Al2Ag
_cell_length_a 5.7903
_cell_length_b 5.7903
_cell_length_c 6.7225
_cell_angle_alpha 90.00
_cell_angle_beta 90.00
_cell_angle_gamma 120.00
_space_group_name_H-M_alt 'P 3 m 1'
_space_group_IT_number 156
_space_group_name_Hall 'P 3 -2"'
loop_
_atom_site_label
_atom_site_fract_x
_atom_site_fract_y
_atom_site_fract_z
_atom_site_occupancy
Al1 0.0000 0.0000 0.0000 1
Al2 0.0031 0.5016 0.9971 1
Al3 0.1649 0.3298 0.6606 1
Al4 0.3333 0.6667 0.3320 1
Ag1 0.3330 0.1665 0.3266 1
Ag2 0.6667 0.3333 0.6764 1
```

Fermi-level density of states = 3.38 states/eV per cell
energy of formation from the pure elements = -50 meV per atom

***

Record 8
Compound: Tl2HgRh
Source: the Alexandria database
Functional: meta-GGA SCAN
Structure: PBEsol geometry

CIF file:
```
data_Tl2HgRh
_cell_length_a 3.0671
_cell_length_b 4.5648
_cell_length_c 13.3004
_cell_angle_alpha 90.00
_cell_angle_beta 90.00
_cell_angle_gamma 90.00
_space_group_name_H-M_alt 'I m m m'
_space_group_IT_number 71
_space_group_name_Hall '-I 2 2'
loop_
_atom_site_label
_atom_site_fract_x
_atom_site_fract_y
_atom_site_fract_z
_atom_site_occupancy
Tl1 0.0000 0.0000 0.1774 1
Hg1 0.0000 0.5000 0.0000 1
Rh1 0.0000 0.5000 0.5000 1
```

Fermi-level density of states = 3.23 states/eV per cell
energy of formation from the pure elements = 53 meV per atom
excess energy over the best structure of this formula in the dataset = 0.006 eV/atom

***

Record 9
Compound: ScBPt2
Source: the Alexandria database
Functional: meta-GGA SCAN
Structure: PBEsol geometry

CIF file:
```
data_ScBPt2
_cell_length_a 6.7904
_cell_length_b 6.7904
_cell_length_c 5.2061
_cell_angle_alpha 90.00
_cell_angle_beta 90.00
_cell_angle_gamma 90.00
_space_group_name_H-M_alt 'I -4 2 d'
_space_group_IT_number 122
_space_group_name_Hall 'I -4 2bw'
loop_
_atom_site_label
_atom_site_fract_x
_atom_site_fract_y
_atom_site_fract_z
_atom_site_occupancy
Sc1 0.0000 0.0000 0.0000 1
B1 0.0000 0.0000 0.5000 1
Pt1 0.1444 0.2500 0.6250 1
```

Fermi-level density of states = 5.07 states/eV per cell
energy of formation from the pure elements = -820 meV per atom

***

Record 10
Compound: ReSbTe2Se
Source: the Alexandria database
Functional: meta-GGA SCAN
Structure: PBEsol geometry

CIF file:
```
data_ReSbTe2Se
_cell_length_a 5.3296
_cell_length_b 5.3296
_cell_length_c 5.1908
_cell_angle_alpha 90.00
_cell_angle_beta 90.00
_cell_angle_gamma 90.00
_space_group_name_H-M_alt 'P 4/m m m'
_space_group_IT_number 123
_space_group_name_Hall '-P 4 2'
loop_
_atom_site_label
_atom_site_fract_x
_atom_site_fract_y
_atom_site_fract_z
_atom_site_occupancy
Re1 0.0000 0.0000 0.0000 1
Sb1 0.5000 0.5000 0.0000 1
Te1 0.0000 0.5000 0.5000 1
Se1 0.5000 0.5000 0.5000 1
```

formation energy from raw total energies = 818 kJ/mol of formula units
Fermi-level density of states = 3.90 states/eV per cell

***

Record 11
Compound: LiAu2
Source: the Alexandria database
Functional: meta-GGA SCAN
Structure: PBEsol geometry

CIF file:
```
data_LiAu2
_cell_length_a 5.7868
_cell_length_b 5.7868
_cell_length_c 5.7868
_cell_angle_alpha 90.00
_cell_angle_beta 90.00
_cell_angle_gamma 90.00
_space_group_name_H-M_alt 'F m -3 m'
_space_group_IT_number 225
_space_group_name_Hall '-F 4 2 3'
loop_
_atom_site_label
_atom_site_fract_x
_atom_site_fract_y
_atom_site_fract_z
_atom_site_occupancy
Li1 0.0000 0.0000 0.0000 1
Au1 0.2500 0.2500 0.2500 1
```

Fermi-level density of states = 3.23 states/eV per cell
energy of formation from the pure elements = -287 meV per atom

***

Record 12
Compound: Cs2P3Se6
Source: the Alexandria database
Functional: meta-GGA SCAN
Structure: PBEsol geometry

CIF file:
```
data_Cs2P3Se6
_cell_length_a 10.7563
_cell_length_b 10.5789
_cell_length_c 14.9446
_cell_angle_alpha 90.00
_cell_angle_beta 125.33
_cell_angle_gamma 90.00
_space_group_name_H-M_alt 'P 1 21/c 1'
_space_group_IT_number 14
_space_group_name_Hall '-P 2ybc'
loop_
_atom_site_label
_atom_site_fract_x
_atom_site_fract_y
_atom_site_fract_z
_atom_site_occupancy
Cs1 0.1574 0.0008 0.1796 1
Cs2 0.2541 0.0026 0.7427 1
P1 0.1385 0.7023 0.9433 1
P2 0.3549 0.6809 0.5554 1
P3 0.4962 0.5506 0.0637 1
Se1 0.0015 0.2160 0.4970 1
Se2 0.0313 0.7491 0.7738 1
Se3 0.2424 0.9996 0.4826 1
Se4 0.3015 0.0137 0.0091 1
Se5 0.4598 0.7378 0.7220 1
Se6 0.4884 0.7433 0.9901 1
```

formation energy from raw total energies = -654 kJ/mol of formula units
Fermi-level density of states = 0.00 states/eV per cell

***

Result set for total moment: 0.0, 0.0, 2.1, 2.6, 0.0, 0.0, 0.0, 0.0, 0.0, 3.7, 0.0, 0.0 μB per formula unit, one per record in the order listed.
Result set for DFT total energy: -648.087, -101.013, -172.088, -248.453, -292.576, -268.307, -188.083, -492.884, -661.334, -194.456, -566.260, -936.255 eV per cell, one per record in the order listed.